PmTm2Ga6 | PBE-GGA | optimized geometry

Cell lengths 7.7602, 7.7602, 7.7602 Å; angles 147.80, 126.06, 64.23 degrees
Closest atoms and distances in Å follow each position.
Atoms (fractional coordinates):
Pm 0.0000 0.0000 0.0000  4 Ga 3.09
Tm 0.3747 0.8747 0.5000  10 Ga 2.84-3.14
Tm 0.6253 0.1253 0.5000  10 Ga 2.84-3.14
Ga 0.0093 0.3139 0.6953  4 Ga 2.59-2.84, 1 Tm 2.84
Ga 0.3159 0.5000 0.8159  3 Ga 2.59
Ga 0.3814 0.6861 0.6953  4 Ga 2.59-2.84, 1 Tm 2.84
Ga 0.6186 0.3139 0.3047  4 Ga 2.59-2.84, 1 Tm 2.84
Ga 0.6841 0.5000 0.1841  3 Ga 2.59
Ga 0.9907 0.6861 0.3047  4 Ga 2.59-2.84, 1 Tm 2.84

Computed properties:
Theoretical density   7.51 g/cm3
Final energy   -4.02 eV per atom
Energy of formation from the pure elements   -0.482 eV per atom
Excess energy over the best structure of this formula in the dataset   130 meV per atom

---

Pm2TmGa3 | PBE-GGA | optimized geometry

Cell lengths 3.6057, 3.6057, 10.9560 Å; angles 90.00, 90.00, 90.00 degrees
Closest atoms and distances in Å follow each position.
Atoms (fractional coordinates):
Pm 0.0000 0.0000 0.1724  8 Ga 3.17-3.19
Pm 0.0000 0.0000 0.8276  8 Ga 3.17-3.19
Tm 0.0000 0.0000 0.5000  8 Ga 3.05
Ga 0.5000 0.5000 0.0000  8 Pm 3.17
Ga 0.5000 0.5000 0.3475  4 Tm 3.05, 4 Pm 3.19, 1 Ga 3.34
Ga 0.5000 0.5000 0.6525  4 Tm 3.05, 4 Pm 3.19, 1 Ga 3.34

Computed properties:
Theoretical density   7.79 g/cm3
Final energy   -4.41 eV per atom
Energy of formation from the pure elements   -0.572 eV per atom
Excess energy over the best structure of this formula in the dataset   0 meV per atom

---

Pm2TmGa6 | PBE-GGA | optimized geometry

Cell lengths 7.9522, 7.9522, 7.9522 Å; angles 148.16, 127.53, 62.70 degrees
Closest atoms and distances in Å follow each position.
Atoms (fractional coordinates):
Pm 0.1280 0.1280 0.0000  10 Ga 2.93-3.17
Pm 0.8720 0.8720 0.0000  10 Ga 2.93-3.17
Tm 0.5000 0.0000 0.5000  4 Ga 3.06
Ga 0.1315 0.3200 0.8114  2 Ga 2.58-2.65
Ga 0.1953 0.5000 0.6953  3 Ga 2.58-2.75
Ga 0.4914 0.6800 0.8114  2 Ga 2.58-2.65
Ga 0.5086 0.3200 0.1886  2 Ga 2.58-2.65
Ga 0.8047 0.5000 0.3047  3 Ga 2.58-2.75
Ga 0.8685 0.6800 0.1886  2 Ga 2.58-2.65

Computed properties:
Theoretical density   6.99 g/cm3
Final energy   -3.99 eV per atom
Energy of formation from the pure elements   -0.422 eV per atom
Excess energy over the best structure of this formula in the dataset   226 meV per atom

---

PmTm2Ga2 | PBE-GGA | optimized geometry

Cell lengths 8.2435, 8.2435, 3.6688 Å; angles 90.00, 90.00, 90.00 degrees
Closest atoms and distances in Å follow each position.
Atoms (fractional coordinates):
Pm 0.0000 0.0000 0.0000  4 Ga 3.27, 8 Tm 3.56
Pm 0.5000 0.5000 0.0000  4 Ga 3.27, 8 Tm 3.56
Tm 0.1735 0.3265 0.5000  6 Ga 3.00-3.08
Tm 0.3265 0.8265 0.5000  6 Ga 3.00-3.08
Tm 0.6735 0.1735 0.5000  6 Ga 3.00-3.08
Tm 0.8265 0.6735 0.5000  6 Ga 3.00-3.08
Ga 0.1225 0.6225 0.0000  1 Ga 2.86, 6 Tm 3.00-3.08
Ga 0.3775 0.1225 0.0000  1 Ga 2.86, 6 Tm 3.00-3.08
Ga 0.6225 0.8775 0.0000  1 Ga 2.86, 6 Tm 3.00-3.08
Ga 0.8775 0.3775 0.0000  1 Ga 2.86, 6 Tm 3.00-3.08

Computed properties:
Theoretical density   8.29 g/cm3
Final energy   -4.40 eV per atom
Energy of formation from the pure elements   -0.455 eV per atom
Excess energy over the best structure of this formula in the dataset   0 meV per atom

---

Pm5TmGa6 | PBE-GGA | optimized geometry

Cell lengths 8.1518, 8.1518, 7.2836 Å; angles 90.00, 90.00, 143.17 degrees
Closest atoms and distances in Å follow each position.
Atoms (fractional coordinates):
Pm 0.0000 0.0000 0.0000  8 Ga 3.14-3.17
Pm 0.3304 0.6696 0.0000  8 Ga 3.18-3.21
Pm 0.3344 0.6656 0.5000  8 Ga 3.13-3.19
Pm 0.6656 0.3344 0.5000  8 Ga 3.13-3.19
Pm 0.6696 0.3304 0.0000  8 Ga 3.18-3.21
Tm 0.0000 0.0000 0.5000  8 Ga 3.09-3.14
Ga 0.1633 0.8367 0.2560  1 Tm 3.09, 7 Pm 3.13-3.19
Ga 0.1633 0.8367 0.7440  1 Tm 3.09, 7 Pm 3.13-3.19
Ga 0.5000 0.5000 0.2541  6 Pm 3.13-3.21, 2 Tm 3.14
Ga 0.5000 0.5000 0.7459  6 Pm 3.13-3.21, 2 Tm 3.14
Ga 0.8367 0.1633 0.2560  1 Tm 3.09, 7 Pm 3.13-3.19
Ga 0.8367 0.1633 0.7440  1 Tm 3.09, 7 Pm 3.13-3.19

Computed properties:
Theoretical density   7.51 g/cm3
Final energy   -4.43 eV per atom
Energy of formation from the pure elements   -0.567 eV per atom

---

Pm4TmGa2 | PBE-GGA | optimized geometry

Cell lengths 10.5182, 10.5182, 10.5182 Å; angles 27.63, 27.63, 27.63 degrees
Closest atoms and distances in Å follow each position.
Atoms (fractional coordinates):
Pm 0.1049 0.1049 0.1049  3 Ga 3.10, 3 Tm 3.45
Pm 0.2985 0.2985 0.2985  4 Ga 3.08-3.14
Pm 0.7015 0.7015 0.7015  4 Ga 3.08-3.14
Pm 0.8951 0.8951 0.8951  3 Ga 3.10, 3 Tm 3.45
Tm 0.5000 0.5000 0.5000  2 Ga 2.97
Ga 0.4020 0.4020 0.4020  1 Tm 2.97, 7 Pm 3.08-3.14
Ga 0.5980 0.5980 0.5980  1 Tm 2.97, 7 Pm 3.08-3.14

Computed properties:
Theoretical density   6.68 g/cm3
Final energy   -4.31 eV per atom
Energy of formation from the pure elements   -0.090 eV per atom